Below is a relaxed structure of Nd6SmIn2, with properties calculated at the PBE level.

The space group is C2/m (No. 12) and the conventional cell measures 13.160, 3.876 and 12.185 Å, with angles of 90.00, 108.34 and 90.00 degrees. Symmetry generates all atoms from Nd at (0.014, 0.000, 0.339), Nd at (0.185, 0.500, 0.876), Nd at (0.192, 0.500, 0.588), Sm at (0.000, 0.000, 0.000) and In at (0.142, 0.500, 0.204).

For the density of states at the Fermi level, the calculation gives 22.63 states/eV/cell. The formation energy comes out at -0.20 eV per atom. For the electronic total energy, the calculation gives -4.508 eV per atom. The calculated volume is 590.0 Å³ per cell.

=====

Below is a relaxed structure of Nd3SmIn, with properties calculated at the PBE level.

The space group is R-3c (No. 167, hexagonal axes) and the conventional cell measures 9.6314, 9.6314 and 12.4472 Å, with angles of 90.00, 90.00 and 120.00 degrees. Symmetry generates all atoms from Nd at (0.0004, 0.3333, 0.0833), Sm at (0.0000, 0.0000, 0.0000) and In at (0.0000, 0.0000, 0.2500).

For the density of states at the Fermi level, the calculation gives 45.88 states/eV/cell. The formation energy comes out at -0.05 eV per atom. For the electronic total energy, the calculation gives -4.407 eV per atom. The calculated volume is 1000.0 Å³ per cell.

=====

Below is a relaxed structure of NdSm6In5, with properties calculated at the PBE level.

The space group is Immm (No. 71) and the conventional cell measures 5.064, 8.995 and 15.291 Å, with angles of 90.00, 90.00 and 90.00 degrees. Symmetry generates all atoms from Nd at (0.000, 0.000, 0.000), Sm at (0.000, 0.229, 0.500), Sm at (0.000, 0.263, 0.171), In at (0.000, 0.000, 0.324), In at (0.000, 0.500, 0.000) and In at (0.000, 0.500, 0.346).

For the density of states at the Fermi level, the calculation gives 24.28 states/eV/cell. The formation energy comes out at -0.39 eV per atom. For the electronic total energy, the calculation gives -4.291 eV per atom. The calculated volume is 696.5 Å³ per cell.

=====

Below is a relaxed structure of Nd2Sm8In3, with properties calculated at the PBE level.

The space group is R-3m (No. 166, hexagonal axes) and the conventional cell measures 6.5238, 6.5238 and 35.3667 Å, with angles of 90.00, 90.00 and 120.00 degrees. Symmetry generates all atoms from Nd at (0.0000, 0.0000, 0.1362), Sm at (0.0000, 0.0000, 0.2234), Sm at (0.0006, 0.5003, 0.2811), In at (0.0000, 0.0000, 0.3098) and In at (0.0000, 0.0000, 0.5000).

For the density of states at the Fermi level, the calculation gives 50.48 states/eV/cell. The formation energy comes out at 0.09 eV per atom. For the electronic total energy, the calculation gives -4.176 eV per atom. The calculated volume is 1303.5 Å³ per cell.

=====

Below is a relaxed structure of NdSmIn, with properties calculated at the PBE level.

The space group is I4/mmm (No. 139) and the conventional cell measures 3.547, 3.547 and 30.332 Å, with angles of 90.00, 90.00 and 90.00 degrees. Symmetry generates all atoms from Nd at (0.000, 0.000, 0.060), Sm at (0.000, 0.000, 0.204) and In at (0.000, 0.000, 0.369).

For the density of states at the Fermi level, the calculation gives 11.38 states/eV/cell. The formation energy comes out at -0.22 eV per atom. For the electronic total energy, the calculation gives -4.295 eV per atom. The calculated volume is 381.6 Å³ per cell.

=====

Below is a relaxed structure of Nd2Sm5In, with properties calculated at the PBE level.

The space group is I4/mmm (No. 139) and the conventional cell measures 4.991, 4.991 and 20.741 Å, with angles of 90.00, 90.00 and 90.00 degrees. Symmetry generates all atoms from Nd at (0.000, 0.000, 0.247), Sm at (0.000, 0.000, 0.000), Sm at (0.000, 0.500, 0.120) and In at (0.000, 0.000, 0.500).

For the density of states at the Fermi level, the calculation gives 20.04 states/eV/cell. The formation energy comes out at -0.11 eV per atom. For the electronic total energy, the calculation gives -4.594 eV per atom. The calculated volume is 516.7 Å³ per cell.

=====

Below is a relaxed structure of Nd3Sm3In2, with properties calculated at the PBE level.

The space group is Pmmm (No. 47) and the conventional cell measures 4.947, 4.963 and 9.958 Å, with angles of 90.00, 90.00 and 90.00 degrees. Symmetry generates all atoms from Nd at (0.000, 0.000, 0.000), Nd at (0.000, 0.000, 0.500), Nd at (0.500, 0.500, 0.000), Sm at (0.500, 0.000, 0.251), Sm at (0.500, 0.500, 0.500) and In at (0.000, 0.500, 0.252).

For the density of states at the Fermi level, the calculation gives 14.20 states/eV/cell. The formation energy comes out at -0.27 eV per atom. For the electronic total energy, the calculation gives -4.513 eV per atom. The calculated volume is 244.5 Å³ per cell.

=====

Below is a relaxed structure of NdSm5In4, with properties calculated at the PBE level.

The space group is P4/mmm (No. 123) and the conventional cell measures 3.600, 3.600 and 22.633 Å, with angles of 90.00, 90.00 and 90.00 degrees. Symmetry generates all atoms from Nd at (0.000, 0.000, 0.000), Sm at (0.500, 0.500, 0.118), Sm at (0.500, 0.500, 0.308), Sm at (0.500, 0.500, 0.500), In at (0.000, 0.000, 0.212) and In at (0.000, 0.000, 0.404).

For the density of states at the Fermi level, the calculation gives 8.73 states/eV/cell. The formation energy comes out at -0.38 eV per atom. For the electronic total energy, the calculation gives -4.317 eV per atom. The calculated volume is 293.3 Å³ per cell.

=====

Below is a relaxed structure of Nd3Sm12In, with properties calculated at the PBE level.

The space group is P4/mmm (No. 123) and the conventional cell measures 5.071, 5.071 and 20.623 Å, with angles of 90.00, 90.00 and 90.00 degrees. Symmetry generates all atoms from Nd at (0.000, 0.000, 0.000), Nd at (0.000, 0.000, 0.253), Sm at (0.000, 0.500, 0.127), Sm at (0.000, 0.500, 0.381), Sm at (0.500, 0.500, 0.000), Sm at (0.500, 0.500, 0.256), Sm at (0.500, 0.500, 0.500) and In at (0.000, 0.000, 0.500).

For the density of states at the Fermi level, the calculation gives 22.60 states/eV/cell. The formation energy comes out at -0.04 eV per atom. For the electronic total energy, the calculation gives -4.649 eV per atom. The calculated volume is 530.3 Å³ per cell.

=====

Below is a relaxed structure of Nd5Sm3In, with properties calculated at the PBE level.

The space group is C2/m (No. 12) and the conventional cell measures 11.422, 8.300 and 13.592 Å, with angles of 90.00, 90.15 and 90.00 degrees. Symmetry generates all atoms from Nd at (0.000, 0.173, 0.000), Nd at (0.001, 0.000, 0.256), Nd at (0.237, 0.500, 0.131), Nd at (0.244, 0.277, 0.665), Sm at (0.000, 0.500, 0.000), Sm at (0.000, 0.500, 0.500), Sm at (0.135, 0.000, 0.510), Sm at (0.241, 0.500, 0.882) and In at (0.002, 0.500, 0.743).

For the density of states at the Fermi level, the calculation gives 50.17 states/eV/cell. The formation energy comes out at 0.26 eV per atom. For the electronic total energy, the calculation gives -4.268 eV per atom. The calculated volume is 1288.6 Å³ per cell.